No. 1
This record from the Alexandria database describes a geometry-optimized K2MgGeO4 structure. The functional is PBE.

Unit cell a=5.1410 b=6.4928 c=10.4054 alpha=84.39 beta=75.70 gamma=66.68
Last column: nearest neighbours and their distance in Å.
Atoms (fractional coordinates):
K 0.5709 0.5000 0.8581  8 O 3.03-3.36
K 0.8209 0.0000 0.3581  8 O 3.03-3.36
K 0.1791 0.0000 0.6419  8 O 3.03-3.36
K 0.9291 0.5000 0.1419  8 O 3.03-3.36
O 0.5192 0.3255 0.5887  1 Ge 1.80, 1 Mg 1.96
O 0.8579 0.8255 0.9113  1 Ge 1.80, 1 Mg 1.96
O 0.3165 0.8255 0.0887  1 Ge 1.80, 1 Mg 1.96
O 0.4335 0.6745 0.4113  1 Ge 1.80, 1 Mg 1.96
O 0.8921 0.6745 0.5887  1 Ge 1.80, 1 Mg 1.96
O 0.5948 0.1745 0.0887  1 Ge 1.80, 1 Mg 1.96
O 0.2308 0.1745 0.9113  1 Ge 1.80, 1 Mg 1.96
O 0.1552 0.3255 0.4113  1 Ge 1.80, 1 Mg 1.96
Mg 0.0000 0.0000 0.0000  4 O 1.96
Mg 0.7500 0.5000 0.5000  4 O 1.96
Ge 0.5000 0.0000 0.0000  4 O 1.80
Ge 0.2500 0.5000 0.5000  4 O 1.80

Results
Energy above the lowest structure with this stoichiometry, meV per atom: 208
Calculated volume, Å³/f.u.: 155

=====

No. 2
This record from the Alexandria database describes a geometry-optimized KMgGe2Os structure. The functional is PBE.

Unit cell a=4.8418 b=4.8418 c=5.1361 alpha=90.00 beta=90.00 gamma=90.00
Last column: nearest neighbours and their distance in Å.
Atoms (fractional coordinates):
K 0.5000 0.5000 0.5000  4 Mg 3.42, 8 Ge 3.53
Ge 0.5000 0.0000 0.0000  2 Os 2.42
Ge 0.0000 0.5000 0.0000  2 Os 2.42
Mg 0.0000 0.0000 0.5000  2 Os 2.57
Os 0.0000 0.0000 0.0000  4 Ge 2.42, 2 Mg 2.57

Results
Calculated formation energy, eV/atom: 0.020
Calculated volume, Å³/f.u.: 120

=====

No. 3
This record from the Alexandria database describes a geometry-optimized KMg2GeOs structure. The functional is PBE.

Unit cell a=5.0339 b=6.0439 c=5.0339 alpha=90.00 beta=90.00 gamma=90.00
Last column: nearest neighbours and their distance in Å.
Atoms (fractional coordinates):
Os 0.5000 0.5000 0.5000  4 K 3.56, 8 Mg 3.93
Mg 0.0000 0.0000 0.5000  2 Ge 2.52
Mg 0.5000 0.0000 0.0000  2 Ge 2.52
K 0.0000 0.5000 0.0000  2 Ge 3.02
Ge 0.0000 0.0000 0.0000  4 Mg 2.52

Results
Energy above the lowest structure with this stoichiometry, meV per atom: 1285
Calculated formation energy, eV/atom: 1.283
Calculated volume, Å³/f.u.: 153

=====

No. 4
This record from the Alexandria database describes a geometry-optimized KMg2GeOs structure. The functional is PBE.

Unit cell a=5.1999 b=4.7175 c=5.1999 alpha=90.00 beta=90.00 gamma=90.00
Last column: nearest neighbours and their distance in Å.
Atoms (fractional coordinates):
Mg 0.5000 0.0000 0.0000  2 Ge 2.60
Mg 0.0000 0.0000 0.5000  2 Ge 2.60
Ge 0.0000 0.0000 0.0000  2 Os 2.36, 4 Mg 2.60
K 0.5000 0.5000 0.5000  8 Mg 3.51, 4 Os 3.68
Os 0.0000 0.5000 0.0000  2 Ge 2.36

Results
Energy above the lowest structure with this stoichiometry, meV per atom: 610
Calculated formation energy, eV/atom: 0.607
Calculated volume, Å³/f.u.: 128

=====

No. 5
This record from the Alexandria database describes a geometry-optimized KMg2GeOs structure. The functional is PBE.

Unit cell a=5.1579 b=5.1579 c=4.7825 alpha=90.00 beta=90.00 gamma=90.00
Last column: nearest neighbours and their distance in Å.
Atoms (fractional coordinates):
Mg 0.5000 0.0000 0.0000  2 Os 2.58
Mg 0.0000 0.5000 0.0000  2 Os 2.58
Ge 0.0000 0.0000 0.5000  2 Os 2.39
Os 0.0000 0.0000 0.0000  2 Ge 2.39, 4 Mg 2.58
K 0.5000 0.5000 0.5000  8 Mg 3.52, 4 Ge 3.65

Results
Energy above the lowest structure with this stoichiometry, meV per atom: 0
Calculated formation energy, eV/atom: -0.003
Calculated volume, Å³/f.u.: 127

=====

No. 6
This record from the Alexandria database describes a geometry-optimized KMg2GeP structure. The functional is PBE.

Unit cell a=5.6366 b=5.4897 c=5.6366 alpha=90.00 beta=90.00 gamma=90.00
Last column: nearest neighbours and their distance in Å.
Atoms (fractional coordinates):
P 0.5000 0.5000 0.5000  8 Mg 3.93, 4 Ge 3.99
Mg 0.0000 0.0000 0.5000  2 K 2.82
Mg 0.5000 0.0000 0.0000  2 K 2.82
Ge 0.0000 0.5000 0.0000  2 K 2.74
K 0.0000 0.0000 0.0000  2 Ge 2.74, 4 Mg 2.82

Results
Calculated formation energy, eV/atom: 1.580
Calculated volume, Å³/f.u.: 174

=====

No. 7
This record from the Alexandria database describes a geometry-optimized KMg2GePt structure. The functional is PBE.

Unit cell a=5.1832 b=5.1832 c=4.8539 alpha=90.00 beta=90.00 gamma=90.00
Last column: nearest neighbours and their distance in Å.
Atoms (fractional coordinates):
K 0.5000 0.5000 0.5000  8 Mg 3.55, 4 Ge 3.67
Mg 0.0000 0.5000 0.0000  2 Pt 2.59
Mg 0.5000 0.0000 0.0000  2 Pt 2.59
Ge 0.0000 0.0000 0.5000  2 Pt 2.43
Pt 0.0000 0.0000 0.0000  2 Ge 2.43, 4 Mg 2.59

Results
Energy above the lowest structure with this stoichiometry, meV per atom: 0
Calculated formation energy, eV/atom: -0.272
Calculated volume, Å³/f.u.: 130

=====

No. 8
This record from the Alexandria database describes a geometry-optimized KMg2GePt structure. The functional is PBE.

Unit cell a=5.2150 b=4.8478 c=5.2150 alpha=90.00 beta=90.00 gamma=90.00
Last column: nearest neighbours and their distance in Å.
Atoms (fractional coordinates):
Mg 0.0000 0.0000 0.5000  2 Ge 2.61
Mg 0.5000 0.0000 0.0000  2 Ge 2.61
Ge 0.0000 0.0000 0.0000  2 Pt 2.42, 4 Mg 2.61
K 0.5000 0.5000 0.5000  8 Mg 3.56, 4 Pt 3.69
Pt 0.0000 0.5000 0.0000  2 Ge 2.42

Results
Energy above the lowest structure with this stoichiometry, meV per atom: 282
Calculated formation energy, eV/atom: 0.009
Calculated volume, Å³/f.u.: 132